# 1
12
Lattice="-6.669 4.398 1.696 0.426 -2.364 7.805 6.554 3.709 -3.506" Properties=species:S:1:pos:R:3 comment="PBE K3CoBr8, relaxed" e_form_raw_ev_per_fu=-8.71 magmom_total_mub_per_fu=2.61 n_ef_per_ev_atom=0.3455 final_energy_ev_per_cell=-32.49 mass_density_g_cm3=3.40 pbc="T T T"
K 1.929 1.181 4.525
K -1.618 4.562 1.470
K -3.122 1.017 4.751
Br 0.600 5.445 -0.771
Br 4.327 2.988 -1.719
Br 0.838 4.124 3.591
Br -0.289 0.297 6.766
Br -4.254 4.076 3.351
Br -0.527 1.618 2.403
Br 4.565 1.666 2.643
Br -4.016 2.755 7.714
Co 0.000 0.000 0.000



# 2
5
Lattice="-4.822 -0.458 -1.343 -2.805 -4.865 2.324 -3.969 1.850 4.215" Properties=species:S:1:pos:R:3 comment="PBE Nd2DyIn2, relaxed" e_above_lowest_polymorph_ev_per_atom=0.000 magmom_total_mub_per_fu=0.00 n_ef_per_ev_atom=0.9566 e_form_ev_per_atom=-0.38 final_energy_ev_per_cell=-21.52 mass_density_g_cm3=7.47 pbc="T T T"
Nd -8.587 -2.461 3.453
Nd -3.009 -1.013 1.743
In -5.552 -3.156 2.198
In -6.044 -0.317 2.998
Dy 0.000 0.000 0.000